Density functional theory data (GGA-PBE) for an optimized crystal structure of NiTe4Pd.

Results
formation energy (no corrections) = -0.272 eV per atom
D(E_F) = 2.7 states/eV per cell
symmetry = P2/m (10)

a = 3.984 Å, b = 5.254 Å, c = 6.952 Å
α = 90.24°, β = 90.00°, γ = 90.00°
Sites, in units of the cell vectors:
Te: 0.000 0.742 0.681
Te: 0.500 0.749 0.155
Te: 0.500 0.251 0.845
Te: 0.000 0.258 0.319
Ni: 0.000 0.000 0.000
Pd: 0.500 0.000 0.500